Record 1
A plane-wave DFT calculation with GGA-PBE was carried out for crystalline Ag3Hg2Br8 at its relaxed geometry.

Values from the calculation:
Formation energy (no corrections)   -32 kJ/mol of atoms
Spin magnetization   0.0 μB per formula unit
Density of states at the Fermi level   10.971 states/eV per cell

Cell: 7.594 8.107 8.856 Å, 117.24 119.26 90.00°
Positions (direct):
Ag 0.500 0.000 0.000
Ag 0.000 0.250 0.000
Ag 0.000 0.750 0.000
Hg 0.284 0.334 0.669
Hg 0.716 0.666 0.331
Br 0.011 0.622 0.244
Br 0.989 0.378 0.756
Br 0.000 0.120 0.241
Br 0.000 0.880 0.759
Br 0.514 0.648 0.754
Br 0.514 0.107 0.754
Br 0.486 0.893 0.246
Br 0.486 0.352 0.246

Record 2
A plane-wave DFT calculation with GGA-PBE was carried out for crystalline Ag2HgBr at its relaxed geometry.

Values from the calculation:
Formation energy (no corrections)   10 kJ/mol of atoms
Spin magnetization   0.0 μB per formula unit
Density of states at the Fermi level   3.870 states/eV per cell

Cell: 7.612 7.612 6.385 Å, 53.41 53.41 90.00°
Positions (direct):
Br 0.500 0.500 0.000
Br 0.250 0.750 0.500
Hg 0.000 0.000 0.000
Hg 0.750 0.250 0.500
Ag 0.621 0.125 0.250
Ag 0.129 0.625 0.250
Ag 0.375 0.379 0.750
Ag 0.875 0.871 0.750

Record 3
A plane-wave DFT calculation with GGA-PBE was carried out for crystalline Ag2HgBr at its relaxed geometry.

Values from the calculation:
Formation energy (no corrections)   4 kJ/mol of atoms
Spin magnetization   0.0 μB per formula unit
Density of states at the Fermi level   0.391 states/eV per cell

Cell: 3.567 6.264 4.375 Å, 90.00 90.00 90.00°
Positions (direct):
Br 0.500 0.000 0.500
Hg 0.000 0.500 0.500
Ag 0.000 0.000 0.000
Ag 0.500 0.500 0.000